# Ga3NiW

A relaxed structure of Ga3NiW (PBE, Alexandria).

Structure (POSCAR):
```
Ga3NiW
1.0
4.869 0.000 0.000
0.000 4.869 0.000
0.000 0.000 4.869
Ga W Ni
3 1 1
direct
0.000 0.500 0.000
0.000 0.000 0.500
0.500 0.000 0.000
0.000 0.000 0.000
0.500 0.500 0.500
```

Values from the calculation:
symmetry	Pm-3m
excess energy over the best structure of this formula in the dataset	255	meV per atom

***

# Ta2Ti5Fe2Co

A relaxed structure of Ta2Ti5Fe2Co (PBE, Alexandria).

Structure (POSCAR):
```
Ta2Ti5Fe2Co
1.0
2.940 0.000 0.000
0.000 10.173 0.000
0.000 0.000 10.173
Fe Ti Ta Co
4 10 4 2
direct
0.000 0.635 0.865
0.000 0.135 0.635
0.000 0.865 0.365
0.000 0.365 0.135
0.500 0.447 0.302
0.500 0.198 0.053
0.500 0.698 0.447
0.500 0.553 0.698
0.500 0.947 0.198
0.500 0.802 0.947
0.500 0.302 0.553
0.500 0.500 0.000
0.500 0.053 0.802
0.500 0.000 0.500
0.000 0.680 0.180
0.000 0.820 0.680
0.000 0.180 0.320
0.000 0.320 0.820
0.000 0.000 0.000
0.000 0.500 0.500
```

Values from the calculation:
symmetry	P4/mbm

***

# Cd3Se4

A relaxed structure of Cd3Se4 (PBE, Alexandria).

Structure (POSCAR):
```
Cd3Se4
1.0
3.367 -5.831 0.000
3.367 5.831 0.000
0.000 0.000 4.643
Se Cd
4 3
direct
0.667 0.333 0.500
0.333 0.667 0.500
0.000 0.000 0.267
0.000 0.000 0.733
0.500 0.500 0.000
0.500 0.000 0.000
0.000 0.500 0.000
```

Values from the calculation:
symmetry	P6/mmm
uncorrected formation energy	0.11	eV/atom
excess energy over the best structure of this formula in the dataset	473	meV per atom

***

# LiCe2As4Pd3

A relaxed structure of LiCe2As4Pd3 (PBE, Alexandria).

Structure (POSCAR):
```
LiCe2As4Pd3
1.0
-1.821 0.148 -3.961
-2.756 -3.181 1.148
-6.685 6.997 3.335
Li Ce As Pd
1 2 4 3
direct
0.500 0.500 0.500
0.000 0.500 0.752
0.500 0.000 0.248
0.500 0.000 0.635
0.500 0.500 0.000
0.000 0.500 0.365
0.000 0.000 0.000
0.500 0.000 0.876
0.000 0.000 0.500
0.000 0.500 0.124
```

Values from the calculation:
symmetry	P-4m2

***

# AcAlPRh6

A relaxed structure of AcAlPRh6 (PBE, Alexandria).

Structure (POSCAR):
```
AcAlPRh6
1.0
6.125 0.000 0.000
0.000 9.241 0.000
-3.062 -4.620 5.713
P Rh Ac Al
2 12 2 2
direct
0.500 0.500 0.000
0.500 0.000 0.000
0.895 0.113 0.261
0.895 0.648 0.261
0.087 0.837 0.173
0.634 0.887 0.739
0.105 0.352 0.739
0.366 0.113 0.261
0.554 0.304 0.108
0.105 0.887 0.739
0.913 0.163 0.827
0.366 0.648 0.261
0.446 0.696 0.892
0.634 0.352 0.739
0.174 0.424 0.348
0.826 0.576 0.652
0.000 0.000 0.500
0.500 0.000 0.500
```

Values from the calculation:
symmetry	Imma

***

# Al2AgPb

A relaxed structure of Al2AgPb (PBE, Alexandria).

Structure (POSCAR):
```
Al2AgPb
1.0
-2.443 9.813 0.670
-5.029 8.583 1.938
-2.502 9.090 3.717
Ag Al Pb
1 2 1
direct
0.738 0.738 0.738
0.002 0.002 0.002
0.262 0.262 0.262
0.498 0.498 0.498
```

Values from the calculation:
symmetry	R3m

***

# LiZnOF2

A relaxed structure of LiZnOF2 (PBE, Alexandria).

Structure (POSCAR):
```
LiZnOF2
1.0
-0.932 -3.415 -2.025
-1.011 -1.807 3.513
-3.565 1.212 -0.403
F Li O Zn
2 1 1 1
direct
0.500 0.000 0.000
0.000 0.500 0.000
0.500 0.500 0.500
0.000 0.000 0.500
0.000 0.000 0.000
```

Values from the calculation:
symmetry	P4/mmm
uncorrected formation energy	-1.63	eV/atom
excess energy over the best structure of this formula in the dataset	0	meV per atom

***

# InSb2P

A relaxed structure of InSb2P (PBE, Alexandria).

Structure (POSCAR):
```
InSb2P
1.0
3.403 0.000 0.000
0.000 3.403 0.000
0.000 0.000 8.901
P Sb In
1 2 1
direct
0.500 0.500 0.787
0.000 0.000 0.931
0.500 0.500 0.258
0.000 0.000 0.524
```

Values from the calculation:
symmetry	P4mm
uncorrected formation energy	0.28	eV/atom
excess energy over the best structure of this formula in the dataset	187	meV per atom

***

# SmDy3Tm2As6

A relaxed structure of SmDy3Tm2As6 (PBE, Alexandria).

Structure (POSCAR):
```
SmDy3Tm2As6
1.0
-6.404 3.025 0.829
3.606 -2.329 5.694
3.856 5.791 -1.561
Sm As Dy Tm
1 6 3 2
direct
0.000 0.000 0.000
0.744 0.744 0.249
0.083 0.422 0.250
0.917 0.578 0.750
0.578 0.917 0.750
0.422 0.083 0.250
0.256 0.256 0.751
0.165 0.835 0.500
0.835 0.165 0.500
0.500 0.500 0.500
0.667 0.333 0.000
0.333 0.667 0.000
```

Values from the calculation:
symmetry	C2/m

***

# HoFeTcB2

A relaxed structure of HoFeTcB2 (PBE, Alexandria).

Structure (POSCAR):
```
HoFeTcB2
1.0
3.598 0.000 0.000
0.000 3.598 0.000
-1.799 -1.799 4.808
Fe B Tc Ho
1 2 1 1
direct
0.750 0.250 0.500
0.604 0.604 0.209
0.396 0.396 0.791
0.250 0.750 0.500
0.000 0.000 0.000
```

Values from the calculation:
symmetry	I-4m2

***

# Ba2TlPd5Pt2

A relaxed structure of Ba2TlPd5Pt2 (PBE, Alexandria).

Structure (POSCAR):
```
Ba2TlPd5Pt2
1.0
4.028 0.000 0.000
0.000 10.304 0.000
0.000 0.000 10.304
Pt Pd Ba Tl
4 10 4 2
direct
0.000 0.124 0.624
0.000 0.624 0.876
0.000 0.876 0.376
0.000 0.376 0.124
0.500 0.062 0.801
0.500 0.562 0.699
0.500 0.199 0.062
0.500 0.938 0.199
0.500 0.438 0.301
0.500 0.301 0.562
0.500 0.000 0.500
0.500 0.699 0.438
0.500 0.801 0.938
0.500 0.500 0.000
0.000 0.826 0.674
0.000 0.174 0.326
0.000 0.674 0.174
0.000 0.326 0.826
0.000 0.500 0.500
0.000 0.000 0.000
```

Values from the calculation:
symmetry	P4/mbm

***

# KY4Cl12

A relaxed structure of KY4Cl12 (PBE, Alexandria).

Structure (POSCAR):
```
KY4Cl12
1.0
8.415 -0.037 -3.106
-4.166 7.379 -2.943
-0.068 0.037 8.969
Cl Y K
12 4 1
direct
0.810 0.245 0.054
0.555 0.249 0.306
0.810 0.755 0.565
0.942 0.249 0.694
0.190 0.245 0.435
0.445 0.751 0.694
0.190 0.755 0.946
0.695 0.495 0.800
0.305 0.104 0.800
0.695 0.896 0.200
0.058 0.751 0.306
0.305 0.505 0.200
0.000 0.000 0.500
0.500 0.000 0.000
0.500 0.500 0.500
0.000 0.500 0.000
0.000 0.500 0.500
```

Values from the calculation:
symmetry	Immm
uncorrected formation energy	-2.16	eV/atom

***

Listing E for the structures above in their given order: -4.54 -8.87 -2.27 -5.65 -6.67 -3.37 -4.00 -3.82 -6.13 -7.72 -4.77 -5.04 eV/atom.